#1
10
Lattice="-1.223 0.127 3.273 -7.197 -13.021 -2.182 11.739 8.476 4.057" Properties=species:S:1:pos:R:3 comment="TbNd2Sm7, relaxed, DFT PBE" volume_a3_per_atom=34.306 spacegroup="No. 65" magnetic_moment_mub_per_fu=0.00 pbc="T T T"
Sm 1.660 -2.209 2.574
Sm 8.185 4.442 2.886
Sm 2.361 1.060 2.709
Sm -3.643 -8.987 -1.011
Sm -1.357 -3.161 1.484
Sm 4.676 -1.256 3.664
Sm 0.958 -5.477 2.439
Nd 5.538 2.195 3.851
Nd -2.219 -6.612 1.296
Tb 0.000 0.000 0.000

#2
10
Lattice="3.582 -0.528 -0.430 -0.689 10.132 -2.668 -0.689 -0.570 10.461" Properties=species:S:1:pos:R:3 comment="TbNd2Sm7, relaxed, DFT PBE" volume_a3_per_atom=36.631 spacegroup="No. 71" magnetic_moment_mub_per_fu=0.00 pbc="T T T"
Nd 1.102 0.984 8.016
Nd 1.102 8.050 -0.653
Sm 2.893 6.049 1.264
Sm -0.689 2.985 6.100
Sm 0.553 0.656 3.811
Sm 0.553 3.865 -0.127
Sm 1.102 4.517 3.682
Sm 1.652 8.379 3.552
Sm 1.652 5.169 7.490
Tb 0.000 0.000 0.000

The energy of each structure relative to the most stable one, in meV per atom, is as follows: #1 0; #2 155.

#1
4
Lattice="-0.919 -1.949 -5.315 -0.501 -5.635 -0.941 -5.095 -2.233 -1.395" Properties=species:S:1:pos:R:3 comment="TbNdSmTh, relaxed, DFT PBE" volume_a3_per_atom=33.348 spacegroup="No. 216" magnetic_moment_mub_per_fu=0.00 pbc="T T T"
Sm 0.000 0.000 0.000
Tb -3.258 -4.909 -3.825
Nd -1.629 -2.454 -1.913
Th -4.887 -7.363 -5.738

#2
4
Lattice="-2.581 2.325 -0.968 0.048 -1.340 -3.348 -7.168 -6.857 2.642" Properties=species:S:1:pos:R:3 comment="TbNdSmTh, relaxed, DFT PBE" volume_a3_per_atom=33.375 spacegroup="No. 99" magnetic_moment_mub_per_fu=0.00 pbc="T T T"
Sm -7.073 -5.061 -0.018
Th -4.079 -3.902 1.503
Tb -3.644 -1.782 -1.281
Nd -0.530 -0.507 0.195

The energy of each structure relative to the most stable one, in meV per atom, is as follows: #1 143; #2 0.

#1
4
Lattice="-0.651 4.401 2.261 -4.778 -0.174 -1.038 -0.843 -2.315 4.265" Properties=species:S:1:pos:R:3 comment="TbNdSmTl, relaxed, DFT PBE" volume_a3_per_atom=30.068 spacegroup="No. 47" magnetic_moment_mub_per_fu=0.12 pbc="T T T"
Nd -2.715 2.114 0.611
Tb 0.000 0.000 0.000
Tl -2.810 -1.245 1.613
Sm -0.747 1.043 3.263

#2
4
Lattice="-1.511 5.339 0.521 -4.779 1.308 2.552 0.093 2.447 5.006" Properties=species:S:1:pos:R:3 comment="TbNdSmTl, relaxed, DFT PBE" volume_a3_per_atom=30.597 spacegroup="No. 216" magnetic_moment_mub_per_fu=1.39 pbc="T T T"
Sm -1.549 2.273 2.020
Tb 0.000 0.000 0.000
Tl -3.098 4.547 4.040
Nd -4.647 6.820 6.059

The energy of each structure relative to the most stable one, in meV per atom, is as follows: #1 0; #2 136.